# Pu4Rh2O, optimized geometry, DFT PBE-GGA
# ρ (g cm⁻³): 12.87
# Size of the total moment (Bohr magnetons per cell): 44.204
# E_form (uncorrected) (meV/atom): -802
data_Pu4Rh2O
_cell_length_a 4.616
_cell_length_b 4.616
_cell_length_c 14.501
_cell_angle_alpha 90.00
_cell_angle_beta 90.00
_cell_angle_gamma 90.00
_space_group_name_H-M_alt 'I 4/m m m'
_space_group_IT_number 139
_space_group_name_Hall '-I 4 2'
loop_
_atom_site_label
_atom_site_type_symbol
_atom_site_fract_x
_atom_site_fract_y
_atom_site_fract_z
_atom_site_occupancy
Pu1 Pu 0.000 0.000 0.188 1
Pu2 Pu 0.000 0.500 0.000 1
Rh1 Rh 0.000 0.000 0.373 1
O1 O 0.000 0.000 0.000 1